[1]
DFT (PBE) results for crystalline Dy3Tl4InS8 at its relaxed geometry.

## Properties
E_form (uncorrected) in eV/f.u.: -19.61

Geometry as CIF:
```
data_Dy3Tl4InS8
_chemical_formula_sum 'Dy3 Tl4 In1 S8'
_cell_length_a 8.834
_cell_length_b 8.834
_cell_length_c 8.834
_cell_angle_alpha 53.91
_cell_angle_beta 53.91
_cell_angle_gamma 53.91
_space_group_name_H-M_alt 'P 1'
_space_group_IT_number 1
_space_group_name_Hall 'P 1'
loop_
_atom_site_label
_atom_site_type_symbol
_atom_site_fract_x
_atom_site_fract_y
_atom_site_fract_z
Dy1 Dy 0.000 0.500 0.500
Dy2 Dy 0.500 0.000 0.500
Dy3 Dy 0.500 0.500 0.000
Tl1 Tl 0.000 0.000 0.500
Tl2 Tl 0.000 0.500 0.000
Tl3 Tl 0.500 0.000 0.000
Tl4 Tl 0.500 0.500 0.500
In1 In 0.000 0.000 0.000
S1 S 0.230 0.230 0.738
S2 S 0.230 0.738 0.230
S3 S 0.262 0.770 0.770
S4 S 0.267 0.267 0.267
S5 S 0.733 0.733 0.733
S6 S 0.738 0.230 0.230
S7 S 0.770 0.262 0.770
S8 S 0.770 0.770 0.262
```

=====

[2]
DFT (PBE) results for crystalline BaPaSb2Rh2 at its relaxed geometry.

## Properties
E_form (uncorrected) in eV/f.u.: -4.86

Geometry as CIF:
```
data_BaPaSb2Rh2
_chemical_formula_sum 'Ba1 Pa1 Sb2 Rh2'
_cell_length_a 4.615
_cell_length_b 4.615
_cell_length_c 8.377
_cell_angle_alpha 90.00
_cell_angle_beta 90.00
_cell_angle_gamma 120.00
_space_group_name_H-M_alt 'P 1'
_space_group_IT_number 1
_space_group_name_Hall 'P 1'
loop_
_atom_site_label
_atom_site_type_symbol
_atom_site_fract_x
_atom_site_fract_y
_atom_site_fract_z
Ba1 Ba 0.000 0.000 0.000
Pa1 Pa 0.000 0.000 0.500
Sb1 Sb 0.333 0.667 0.724
Sb2 Sb 0.667 0.333 0.276
Rh1 Rh 0.333 0.667 0.342
Rh2 Rh 0.667 0.333 0.658
```

=====

[3]
DFT (PBE) results for crystalline CaScMn2Cu at its relaxed geometry.

Geometry as CIF:
```
data_CaScMn2Cu
_chemical_formula_sum 'Ca1 Sc1 Mn2 Cu1'
_cell_length_a 4.271
_cell_length_b 4.271
_cell_length_c 4.797
_cell_angle_alpha 90.00
_cell_angle_beta 90.00
_cell_angle_gamma 90.00
_space_group_name_H-M_alt 'P 1'
_space_group_IT_number 1
_space_group_name_Hall 'P 1'
loop_
_atom_site_label
_atom_site_type_symbol
_atom_site_fract_x
_atom_site_fract_y
_atom_site_fract_z
Ca1 Ca 0.000 0.000 0.000
Sc1 Sc 0.000 0.000 0.500
Mn1 Mn 0.000 0.500 0.000
Mn2 Mn 0.500 0.000 0.000
Cu1 Cu 0.500 0.500 0.500
```

=====

[4]
DFT (PBE) results for crystalline KPuPb at its relaxed geometry.

Geometry as CIF:
```
data_KPuPb
_chemical_formula_sum 'K1 Pu1 Pb1'
_cell_length_a 8.930
_cell_length_b 8.930
_cell_length_c 8.930
_cell_angle_alpha 157.38
_cell_angle_beta 157.38
_cell_angle_gamma 32.20
_space_group_name_H-M_alt 'P 1'
_space_group_IT_number 1
_space_group_name_Hall 'P 1'
loop_
_atom_site_label
_atom_site_type_symbol
_atom_site_fract_x
_atom_site_fract_y
_atom_site_fract_z
K1 K 0.000 0.000 0.000
Pu1 Pu 0.292 0.292 0.000
Pb1 Pb 0.659 0.659 0.000
```

=====

[5]
DFT (PBE) results for crystalline Tb2Y4HoMg at its relaxed geometry.

Geometry as CIF:
```
data_Tb2Y4HoMg
_chemical_formula_sum 'Tb2 Y4 Ho1 Mg1'
_cell_length_a 4.977
_cell_length_b 4.977
_cell_length_c 10.018
_cell_angle_alpha 90.00
_cell_angle_beta 90.00
_cell_angle_gamma 90.00
_space_group_name_H-M_alt 'P 1'
_space_group_IT_number 1
_space_group_name_Hall 'P 1'
loop_
_atom_site_label
_atom_site_type_symbol
_atom_site_fract_x
_atom_site_fract_y
_atom_site_fract_z
Tb1 Tb 0.000 0.000 0.000
Tb2 Tb 0.500 0.500 0.500
Y1 Y 0.000 0.500 0.248
Y2 Y 0.000 0.500 0.752
Y3 Y 0.500 0.000 0.248
Y4 Y 0.500 0.000 0.752
Ho1 Ho 0.000 0.000 0.500
Mg1 Mg 0.500 0.500 0.000
```

=====

[6]
DFT (PBE) results for crystalline Cs3LaNp3Se8 at its relaxed geometry.

## Properties
E_form (uncorrected) in eV/f.u.: -20.65

Geometry as CIF:
```
data_Cs3LaNp3Se8
_chemical_formula_sum 'Cs3 La1 Np3 Se8'
_cell_length_a 9.807
_cell_length_b 9.807
_cell_length_c 9.807
_cell_angle_alpha 52.08
_cell_angle_beta 52.08
_cell_angle_gamma 52.08
_space_group_name_H-M_alt 'P 1'
_space_group_IT_number 1
_space_group_name_Hall 'P 1'
loop_
_atom_site_label
_atom_site_type_symbol
_atom_site_fract_x
_atom_site_fract_y
_atom_site_fract_z
Cs1 Cs 0.000 0.500 0.500
Cs2 Cs 0.500 0.000 0.500
Cs3 Cs 0.500 0.500 0.000
La1 La 0.500 0.500 0.500
Np1 Np 0.000 0.000 0.500
Np2 Np 0.000 0.500 0.000
Np3 Np 0.500 0.000 0.000
Se1 Se 0.216 0.734 0.734
Se2 Se 0.227 0.227 0.227
Se3 Se 0.266 0.266 0.784
Se4 Se 0.266 0.784 0.266
Se5 Se 0.734 0.216 0.734
Se6 Se 0.734 0.734 0.216
Se7 Se 0.773 0.773 0.773
Se8 Se 0.784 0.266 0.266
```

=====

Sequential VASP energy output: -4.915; -6.538; -4.036; -6.220; -5.137; -6.322 eV per atom